1.
The following is a DFT calculation (PBE) of a geometry-optimized La3Au structure.

```
4
Lattice="-1.663 2.106 -4.763 -1.707 -3.308 -4.004 -5.294 -0.147 -1.354" Properties=species:S:1:pos:R:3 pbc="T T T"
Au 0.000 0.000 0.000
La -2.166 -0.337 -2.530
La -4.332 -0.675 -5.060
La -6.498 -1.012 -7.590
```

Output
M_tot = 0.41 μB/atom
Formation energy from the elements = -0.1899 eV/atom
SG = No. 225

---

2.
The following is a DFT calculation (PBE) of a geometry-optimized LaAu3 structure.

```
4
Lattice="6.610 0.000 0.022 0.000 4.800 0.000 -8.670 0.000 3.048" Properties=species:S:1:pos:R:3 pbc="T T T"
Au -0.510 0.000 0.787
Au -4.855 0.000 2.272
Au 4.957 2.400 0.017
La 1.652 2.400 0.006
```

Output
M_tot = 0.00 μB/atom
Formation energy from the elements = -0.5929 eV/atom
SG = No. 10

---

3.
The following is a DFT calculation (PBE) of a geometry-optimized La3Au5 structure.

```
16
Lattice="-0.105 6.944 -5.482 -3.480 -8.109 0.650 -4.869 3.429 5.737" Properties=species:S:1:pos:R:3 pbc="T T T"
Au -7.299 -2.794 4.630
Au -1.892 2.072 0.476
Au -5.475 -2.377 2.387
Au -6.657 0.066 3.465
Au -4.241 3.167 1.873
Au -4.221 -0.902 -0.966
Au -1.803 2.199 -2.558
Au -2.985 4.643 -1.481
Au -6.569 0.194 0.431
Au -1.162 5.060 -3.723
La -3.627 0.117 2.193
La -0.987 -0.677 -1.050
La -3.547 -3.626 0.383
La -4.913 5.891 0.523
La -2.606 -0.486 -3.780
La -4.834 2.148 -1.287
```

Output
Energy above the most stable polymorph in this dataset = 0.056 eV/atom
M_tot = 0.00 μB/atom
Formation energy from the elements = -0.7318 eV/atom
SG = No. 12

---

4.
The following is a DFT calculation (PBE) of a geometry-optimized LaAu2 structure.

```
6
Lattice="7.417 0.020 0.000 -6.341 3.848 0.000 0.000 0.000 5.169" Properties=species:S:1:pos:R:3 pbc="T T T"
Au -6.295 3.835 0.000
Au -3.385 3.025 2.585
Au -1.653 2.544 0.000
Au 1.257 1.734 2.585
La 2.875 1.284 0.000
La 5.844 0.457 2.585
```

Output
M_tot = 0.00 μB/atom
Formation energy from the elements = -0.7347 eV/atom
SG = No. 63

---

no.,E (eV/f.u.)
1,-18.819
2,-17.131
3,-37.024
4,-13.686